Entry 1:
# YInSe3 GGA-PBE relaxed
# Fermi-level density of states = 0.26 states/eV/f.u.
# symmetry = P4mm
# formation energy (no corrections) = -0.9114 eV/atom
# E above lowest polymorph = 281.4 meV per atom
data_YInSe3
_cell_length_a 4.835
_cell_length_b 4.835
_cell_length_c 6.611
_cell_angle_alpha 90.00
_cell_angle_beta 90.00
_cell_angle_gamma 90.00
_symmetry_space_group_name_H-M 'P 1'
_symmetry_Int_Tables_number 1
loop_
_symmetry_equiv_pos_as_xyz
'x,y,z'
loop_
_atom_site_label
_atom_site_type_symbol
_atom_site_fract_x
_atom_site_fract_y
_atom_site_fract_z
_atom_site_occupancy
Se1 Se 0.000 0.500 0.360 1
Y1 Y 0.500 0.500 0.593 1
In1 In 0.000 0.000 0.170 1
Se2 Se 0.000 0.000 0.782 1
Se3 Se 0.500 0.000 0.360 1

---

Entry 2:
# NaSnHg2Ir GGA-PBE relaxed
# formation enthalpy at 0 K = 1.204 eV/atom
# Fermi-level density of states = 6.45 states/eV/f.u.
# symmetry = P4/mmm
data_NaSnHg2Ir
_cell_length_a 5.437
_cell_length_b 5.842
_cell_length_c 5.437
_cell_angle_alpha 90.00
_cell_angle_beta 90.00
_cell_angle_gamma 90.00
_symmetry_space_group_name_H-M 'P 1'
_symmetry_Int_Tables_number 1
loop_
_symmetry_equiv_pos_as_xyz
'x,y,z'
loop_
_atom_site_label
_atom_site_type_symbol
_atom_site_fract_x
_atom_site_fract_y
_atom_site_fract_z
_atom_site_occupancy
Ir1 Ir 0.500 0.500 0.500 1
Na1 Na 0.000 0.500 0.000 1
Sn1 Sn 0.000 0.000 0.000 1
Hg1 Hg 0.000 0.000 0.500 1
Hg2 Hg 0.500 0.000 0.000 1

---

Entry 3:
# RbHgPIr GGA-PBE relaxed
# formation enthalpy at 0 K = -0.427 eV/atom
# Fermi-level density of states = 1.39 states/eV/f.u.
# symmetry = P4/nmm
data_RbHgPIr
_cell_length_a 4.037
_cell_length_b 4.037
_cell_length_c 13.260
_cell_angle_alpha 90.00
_cell_angle_beta 90.00
_cell_angle_gamma 90.00
_symmetry_space_group_name_H-M 'P 1'
_symmetry_Int_Tables_number 1
loop_
_symmetry_equiv_pos_as_xyz
'x,y,z'
loop_
_atom_site_label
_atom_site_type_symbol
_atom_site_fract_x
_atom_site_fract_y
_atom_site_fract_z
_atom_site_occupancy
Ir1 Ir 0.750 0.250 0.000 1
Rb1 Rb 0.750 0.750 0.249 1
Hg1 Hg 0.750 0.250 0.500 1
Ir2 Ir 0.250 0.750 0.000 1
Rb2 Rb 0.250 0.250 0.751 1
Hg2 Hg 0.250 0.750 0.500 1
P1 P 0.750 0.750 0.905 1
P2 P 0.250 0.250 0.095 1

---

Entry 4:
# AcCdSiAu GGA-PBE relaxed
# Fermi-level density of states = 1.32 states/eV/f.u.
# symmetry = F-43m
# formation energy (no corrections) = -0.3426 eV/atom
data_AcCdSiAu
_cell_length_a 5.189
_cell_length_b 5.189
_cell_length_c 5.189
_cell_angle_alpha 60.00
_cell_angle_beta 60.00
_cell_angle_gamma 60.00
_symmetry_space_group_name_H-M 'P 1'
_symmetry_Int_Tables_number 1
loop_
_symmetry_equiv_pos_as_xyz
'x,y,z'
loop_
_atom_site_label
_atom_site_type_symbol
_atom_site_fract_x
_atom_site_fract_y
_atom_site_fract_z
_atom_site_occupancy
Ac1 Ac 0.000 0.000 0.000 1
Au1 Au 0.250 0.250 0.250 1
Si1 Si 0.750 0.750 0.750 1
Cd1 Cd 0.500 0.500 0.500 1

---

Entry 5:
# LiBeI GGA-PBE relaxed
# Fermi-level density of states = 0.85 states/eV/f.u.
# symmetry = Cm
# formation energy (no corrections) = -0.2013 eV/atom
# E above lowest polymorph = 57.1 meV per atom
data_LiBeI
_cell_length_a 9.283
_cell_length_b 3.981
_cell_length_c 7.081
_cell_angle_alpha 90.00
_cell_angle_beta 90.31
_cell_angle_gamma 90.00
_symmetry_space_group_name_H-M 'P 1'
_symmetry_Int_Tables_number 1
loop_
_symmetry_equiv_pos_as_xyz
'x,y,z'
loop_
_atom_site_label
_atom_site_type_symbol
_atom_site_fract_x
_atom_site_fract_y
_atom_site_fract_z
_atom_site_occupancy
Be1 Be 0.668 0.000 0.431 1
Li1 Li 0.841 0.000 0.088 1
Be2 Be 0.668 0.500 0.931 1
I1 I 0.407 0.500 0.925 1
I2 I 0.407 0.000 0.425 1
Li2 Li 0.236 0.500 0.594 1
I3 I 0.029 0.500 0.260 1
I4 I 0.029 0.000 0.760 1
Be3 Be 0.723 0.500 0.255 1
Be4 Be 0.723 0.000 0.755 1
Li3 Li 0.236 0.000 0.094 1
Li4 Li 0.841 0.500 0.588 1

---

Entry 6:
# Pr2Cu3As4Pd GGA-PBE relaxed
# formation enthalpy at 0 K = -0.680 eV/atom
# Fermi-level density of states = 0.94 states/eV/f.u.
# symmetry = P-4m2
data_Pr2Cu3As4Pd
_cell_length_a 4.298
_cell_length_b 4.298
_cell_length_c 10.151
_cell_angle_alpha 90.00
_cell_angle_beta 90.00
_cell_angle_gamma 90.00
_symmetry_space_group_name_H-M 'P 1'
_symmetry_Int_Tables_number 1
loop_
_symmetry_equiv_pos_as_xyz
'x,y,z'
loop_
_atom_site_label
_atom_site_type_symbol
_atom_site_fract_x
_atom_site_fract_y
_atom_site_fract_z
_atom_site_occupancy
Pd1 Pd 0.500 0.500 0.500 1
Cu1 Cu 0.500 0.000 0.874 1
Pr1 Pr 0.500 0.000 0.254 1
Cu2 Cu 0.000 0.500 0.126 1
As1 As 0.500 0.000 0.639 1
As2 As 0.000 0.000 0.000 1
Pr2 Pr 0.000 0.500 0.746 1
As3 As 0.500 0.500 0.000 1
Cu3 Cu 0.000 0.000 0.500 1
As4 As 0.000 0.500 0.361 1

---

no.,raw total energy (eV/atom)
1,-4.843
2,-1.753
3,-4.312
4,-3.774
5,-2.598
6,-5.244